Mg2Zn2Cr | PBE | relaxed

Unit cell a=7.3734 b=7.3734 c=2.9910 alpha=90.00 beta=90.00 gamma=90.00
Closest atoms and distances in Å follow each position.
Fractional coordinates of all 10 atoms:
Mg 0.1763 0.3237 0.0000  6 Zn 2.55-2.71
Mg 0.3237 0.8237 0.0000  6 Zn 2.55-2.71
Mg 0.6763 0.1763 0.0000  6 Zn 2.55-2.71
Mg 0.8237 0.6763 0.0000  6 Zn 2.55-2.71
Zn 0.1252 0.6252 0.5000  6 Mg 2.55-2.71, 1 Zn 2.61
Zn 0.3748 0.1252 0.5000  6 Mg 2.55-2.71, 1 Zn 2.61
Zn 0.6252 0.8748 0.5000  6 Mg 2.55-2.71, 1 Zn 2.61
Zn 0.8748 0.3748 0.5000  6 Mg 2.55-2.71, 1 Zn 2.61
Cr 0.0000 0.0000 0.5000  4 Zn 2.91, 2 Cr 2.99, 8 Mg 3.10
Cr 0.5000 0.5000 0.5000  4 Zn 2.91, 2 Cr 2.99, 8 Mg 3.10

Summary:
Its volume is 162.6 Å³/cell. As for the formation energy: 0.3837 eV/atom. As for the calculated density: 4.73 Mg/m³. As for the offset from the most stable computed form: 0.000 eV per atom. Its density of states at the Fermi level is 0.71 states/eV/atom.

MgZnSO4 | PBE | relaxed

Unit cell a=6.2275 b=6.2275 c=6.2275 alpha=124.06 beta=112.38 gamma=93.39
Closest atoms and distances in Å follow each position.
Fractional coordinates of all 14 atoms:
Mg 0.0000 0.0000 0.0000  2 O 1.93
Mg 0.5000 0.0000 0.5000  2 O 1.93
Zn 0.5000 0.0000 0.0000  4 O 2.01
Zn 0.5000 0.5000 0.5000  4 O 2.01
S 0.0951 0.3451 0.7500  2 O 1.52
S 0.9049 0.6549 0.2500  2 O 1.52
O 0.2006 0.2403 0.5397  1 S 1.52
O 0.2006 0.6610 0.9603  1 S 1.52
O 0.2752 0.2221 0.0531  1 Mg 1.93, 2 Zn 2.01
O 0.3309 0.7779 0.5531  1 Mg 1.93, 2 Zn 2.01
O 0.6691 0.2221 0.4469  1 Mg 1.93, 2 Zn 2.01
O 0.7248 0.7779 0.9469  1 Mg 1.93, 2 Zn 2.01
O 0.7994 0.3390 0.0397  1 S 1.52
O 0.7994 0.7597 0.4603  1 S 1.52

Summary:
Its volume is 172.9 Å³/cell. The uncorrected formation energy is -1.365 eV per atom. As for the calculated density: 3.57 Mg/m³.

ZnNi6Au | PBE | relaxed

Unit cell a=6.3049 b=6.3049 c=10.3279 alpha=90.00 beta=90.00 gamma=109.76
Closest atoms and distances in Å follow each position.
Fractional coordinates of all 32 atoms:
Zn 0.0000 0.0000 0.2463  12 Ni 2.53-2.62
Zn 0.0000 0.0000 0.7537  12 Ni 2.53-2.62
Zn 0.2519 0.7481 0.0000  12 Ni 2.52-2.60
Zn 0.7481 0.2519 0.0000  12 Ni 2.52-2.60
Ni 0.0000 0.0000 0.0000  8 Ni 2.54, 4 Zn 2.54-2.60
Ni 0.0000 0.0000 0.5000  8 Ni 2.56, 2 Au 2.60, 2 Zn 2.62
Ni 0.1188 0.3720 0.1211  8 Ni 2.50-2.61, 3 Zn 2.53-2.56, 1 Au 2.61
Ni 0.1188 0.3720 0.8789  8 Ni 2.50-2.61, 3 Zn 2.53-2.56, 1 Au 2.61
Ni 0.1211 0.3675 0.3705  1 Zn 2.53, 8 Ni 2.54-2.68, 3 Au 2.58-2.63
Ni 0.1211 0.3675 0.6295  1 Zn 2.53, 8 Ni 2.54-2.68, 3 Au 2.58-2.63
Ni 0.2466 0.7534 0.2439  8 Ni 2.51-2.64, 2 Zn 2.52-2.54, 2 Au 2.61-2.65
Ni 0.2466 0.7534 0.7561  8 Ni 2.51-2.64, 2 Zn 2.52-2.54, 2 Au 2.61-2.65
Ni 0.3675 0.1211 0.3705  1 Zn 2.53, 8 Ni 2.54-2.68, 3 Au 2.58-2.63
Ni 0.3675 0.1211 0.6295  1 Zn 2.53, 8 Ni 2.54-2.68, 3 Au 2.58-2.63
Ni 0.3720 0.1188 0.1211  8 Ni 2.50-2.61, 3 Zn 2.53-2.56, 1 Au 2.61
Ni 0.3720 0.1188 0.8789  8 Ni 2.50-2.61, 3 Zn 2.53-2.56, 1 Au 2.61
Ni 0.5000 0.5000 0.0000  2 Au 2.56, 2 Zn 2.56, 8 Ni 2.58
Ni 0.5000 0.5000 0.5000  4 Au 2.56-2.61, 8 Ni 2.62
Ni 0.6280 0.8812 0.1211  8 Ni 2.50-2.61, 3 Zn 2.53-2.56, 1 Au 2.61
Ni 0.6280 0.8812 0.8789  8 Ni 2.50-2.61, 3 Zn 2.53-2.56, 1 Au 2.61
Ni 0.6325 0.8789 0.3705  1 Zn 2.53, 8 Ni 2.54-2.68, 3 Au 2.58-2.63
Ni 0.6325 0.8789 0.6295  1 Zn 2.53, 8 Ni 2.54-2.68, 3 Au 2.58-2.63
Ni 0.7534 0.2466 0.2439  8 Ni 2.51-2.64, 2 Zn 2.52-2.54, 2 Au 2.61-2.65
Ni 0.7534 0.2466 0.7561  8 Ni 2.51-2.64, 2 Zn 2.52-2.54, 2 Au 2.61-2.65
Ni 0.8789 0.6325 0.3705  1 Zn 2.53, 8 Ni 2.54-2.68, 3 Au 2.58-2.63
Ni 0.8789 0.6325 0.6295  1 Zn 2.53, 8 Ni 2.54-2.68, 3 Au 2.58-2.63
Ni 0.8812 0.6280 0.1211  8 Ni 2.50-2.61, 3 Zn 2.53-2.56, 1 Au 2.61
Ni 0.8812 0.6280 0.8789  8 Ni 2.50-2.61, 3 Zn 2.53-2.56, 1 Au 2.61
Au 0.2516 0.7484 0.5000  12 Ni 2.56-2.65
Au 0.5000 0.5000 0.2475  12 Ni 2.56-2.61
Au 0.5000 0.5000 0.7525  12 Ni 2.56-2.61
Au 0.7484 0.2516 0.5000  12 Ni 2.56-2.65

Summary:
Its volume is 386.4 Å³/cell. As for the formation energy: -0.0042 eV/atom. As for the calculated density: 10.56 Mg/m³. Its density of states at the Fermi level is 1.26 states/eV/atom.

Ac8IrRh3 | PBE | relaxed

Unit cell a=8.4300 b=8.4300 c=8.4054 alpha=117.16 beta=117.16 gamma=62.70
Closest atoms and distances in Å follow each position.
Fractional coordinates of all 12 atoms:
Ac 0.2439 0.2439 0.2538  1 Ir 2.98, 2 Rh 2.98
Ac 0.2439 0.7452 0.7550  1 Ir 2.98, 2 Rh 2.98-2.99
Ac 0.2548 0.7561 0.2450  1 Ir 2.98, 2 Rh 2.98-2.99
Ac 0.2556 0.2556 0.7457  3 Rh 2.98-2.99
Ac 0.7444 0.7444 0.2543  3 Rh 2.98-2.99
Ac 0.7452 0.2439 0.7550  1 Ir 2.98, 2 Rh 2.98-2.99
Ac 0.7561 0.2548 0.2450  1 Ir 2.98, 2 Rh 2.98-2.99
Ac 0.7561 0.7561 0.7462  1 Ir 2.98, 2 Rh 2.98
Ir 0.0000 0.0000 0.0000  6 Ac 2.98
Rh 0.0000 0.5000 0.5000  6 Ac 2.98-2.99
Rh 0.5000 0.0000 0.5000  6 Ac 2.98-2.99
Rh 0.5000 0.5000 0.0000  6 Ac 2.98-2.99

Summary:
Its volume is 448.6 Å³/cell. As for the formation energy: -0.5695 eV/atom. As for the calculated density: 8.58 Mg/m³. Its density of states at the Fermi level is 0.92 states/eV/atom.

TaMoOs2 | PBE | relaxed

Unit cell a=9.2378 b=2.8074 c=4.9110 alpha=90.00 beta=100.31 gamma=90.00
Closest atoms and distances in Å follow each position.
Fractional coordinates of all 8 atoms:
Ta 0.0000 0.0000 0.0000  2 Ta 2.81, 6 Os 2.82-2.84, 4 Mo 2.83
Ta 0.5000 0.5000 0.0000  2 Ta 2.81, 6 Os 2.82-2.84, 4 Mo 2.83
Mo 0.0000 0.5000 0.5000  6 Os 2.75-2.79, 2 Mo 2.81, 4 Ta 2.83
Mo 0.5000 0.0000 0.5000  6 Os 2.75-2.79, 2 Mo 2.81, 4 Ta 2.83
Os 0.2467 0.0000 0.7341  6 Os 2.70-2.96, 3 Mo 2.75-2.79, 3 Ta 2.82-2.84
Os 0.2533 0.5000 0.2659  6 Os 2.70-2.96, 3 Mo 2.75-2.79, 3 Ta 2.82-2.84
Os 0.7467 0.5000 0.7341  6 Os 2.70-2.96, 3 Mo 2.75-2.79, 3 Ta 2.82-2.84
Os 0.7533 0.0000 0.2659  6 Os 2.70-2.96, 3 Mo 2.75-2.79, 3 Ta 2.82-2.84

Summary:
Its volume is 125.3 Å³/cell. As for the formation energy: 0.0690 eV/atom. As for the calculated density: 17.42 Mg/m³. As for the offset from the most stable computed form: 0.102 eV per atom. Its density of states at the Fermi level is 0.94 states/eV/atom.

Ba2CdBr | PBE | relaxed

Unit cell a=4.6381 b=4.6381 c=27.7268 alpha=90.00 beta=90.00 gamma=120.00
Closest atoms and distances in Å follow each position.
Fractional coordinates of all 12 atoms:
Ba 0.0000 0.0000 0.0000  3 Cd 3.49, 3 Br 3.56
Ba 0.0000 0.0000 0.1713  3 Cd 3.50, 3 Br 3.60
Ba 0.3333 0.6667 0.6667  3 Cd 3.49, 3 Br 3.56
Ba 0.3333 0.6667 0.8379  3 Cd 3.50, 3 Br 3.60
Ba 0.6667 0.3333 0.3333  3 Cd 3.49, 3 Br 3.56
Ba 0.6667 0.3333 0.5046  3 Cd 3.50, 3 Br 3.60
Cd 0.0000 0.0000 0.5861  6 Ba 3.49-3.50
Cd 0.3333 0.6667 0.2528  6 Ba 3.49-3.50
Cd 0.6667 0.3333 0.9194  6 Ba 3.49-3.50
Br 0.0000 0.0000 0.4179  6 Ba 3.56-3.60
Br 0.3333 0.6667 0.0846  6 Ba 3.56-3.60
Br 0.6667 0.3333 0.7512  6 Ba 3.56-3.60

Summary:
Its volume is 516.5 Å³/cell. The uncorrected formation energy is -0.871 eV per atom. As for the calculated density: 4.50 Mg/m³. As for the offset from the most stable computed form: 0.032 eV per atom. Its density of states at the Fermi level is 1.05 states/eV/atom.

LiLaSbAs2 | PBE | relaxed

Unit cell a=5.4420 b=5.4420 c=4.6172 alpha=90.00 beta=90.00 gamma=90.00
Closest atoms and distances in Å follow each position.
Fractional coordinates of all 5 atoms:
Li 0.0000 0.0000 0.0000  2 Sb 2.31
La 0.5000 0.5000 0.0000  8 As 3.57, 4 Li 3.85
Sb 0.0000 0.0000 0.5000  2 Li 2.31
As 0.0000 0.5000 0.5000  2 Sb 2.72
As 0.5000 0.0000 0.5000  2 Sb 2.72

Summary:
Its volume is 136.7 Å³/cell. The uncorrected formation energy is -0.172 eV per atom. As for the calculated density: 5.07 Mg/m³. Its density of states at the Fermi level is 0.52 states/eV/atom.

CsAg3Cl | PBE | relaxed

Unit cell a=6.2382 b=6.2382 c=6.2382 alpha=90.00 beta=90.00 gamma=90.00
Closest atoms and distances in Å follow each position.
Fractional coordinates of all 5 atoms:
Cs 0.0000 0.0000 0.0000  6 Ag 3.12
Ag 0.0000 0.0000 0.5000  2 Cs 3.12
Ag 0.0000 0.5000 0.0000  2 Cs 3.12
Ag 0.5000 0.0000 0.0000  2 Cs 3.12
Cl 0.5000 0.5000 0.5000  12 Ag 4.41

Summary:
Its volume is 242.8 Å³/cell. The uncorrected formation energy is 1.028 eV per atom. As for the calculated density: 3.37 Mg/m³. As for the offset from the most stable computed form: 0.652 eV per atom. Its density of states at the Fermi level is 1.88 states/eV/atom.

TaReSe4 | PBE | relaxed

Unit cell a=3.3476 b=5.9917 c=7.3986 alpha=101.83 beta=103.07 gamma=90.01
Closest atoms and distances in Å follow each position.
Fractional coordinates of all 6 atoms:
Ta 0.0000 0.0000 0.0000  6 Se 2.57-2.69, 2 Re 2.85-2.86
Re 0.5131 0.3911 0.0222  6 Se 2.52-2.65
Se 0.1397 0.3543 0.2757  2 Re 2.52, 1 Ta 2.58
Se 0.3707 0.0491 0.7414  1 Re 2.56, 2 Ta 2.57
Se 0.6068 0.8196 0.2137  1 Re 2.65, 2 Ta 2.65
Se 0.9089 0.5615 0.8140  2 Re 2.60, 1 Ta 2.69

Summary:
Its volume is 141.3 Å³/cell. The uncorrected formation energy is -0.572 eV per atom. As for the calculated density: 8.03 Mg/m³. As for the offset from the most stable computed form: 0.000 eV per atom. Its density of states at the Fermi level is 0.24 states/eV/atom.

Sn2Ge2As | PBE | relaxed

Unit cell a=7.7962 b=7.7962 c=4.0009 alpha=90.00 beta=90.00 gamma=90.00
Closest atoms and distances in Å follow each position.
Fractional coordinates of all 10 atoms:
Sn 0.1769 0.3231 0.0000  2 As 2.87, 6 Ge 3.01-3.09
Sn 0.3231 0.8231 0.0000  2 As 2.87, 6 Ge 3.01-3.09
Sn 0.6769 0.1769 0.0000  2 As 2.87, 6 Ge 3.01-3.09
Sn 0.8231 0.6769 0.0000  2 As 2.87, 6 Ge 3.01-3.09
Ge 0.1193 0.6193 0.5000  1 Ge 2.63
Ge 0.3807 0.1193 0.5000  1 Ge 2.63
Ge 0.6193 0.8807 0.5000  1 Ge 2.63
Ge 0.8807 0.3807 0.5000  1 Ge 2.63
As 0.0000 0.0000 0.0000  4 Sn 2.87
As 0.5000 0.5000 0.0000  4 Sn 2.87

Summary:
Its volume is 243.2 Å³/cell. As for the formation energy: 0.3042 eV/atom. As for the calculated density: 6.25 Mg/m³. As for the offset from the most stable computed form: 0.058 eV per atom. Its density of states at the Fermi level is 0.55 states/eV/atom.

Cs2KCuBr5 | PBE | relaxed

Unit cell a=10.9018 b=10.9018 c=15.6263 alpha=90.00 beta=90.00 gamma=155.39
Closest atoms and distances in Å follow each position.
Fractional coordinates of all 18 atoms:
Cs 0.1310 0.8690 0.5000  5 Br 3.56-3.93
Cs 0.1341 0.8659 0.1546  6 Br 3.62-3.78
Cs 0.8659 0.1341 0.6546  6 Br 3.62-3.78
Cs 0.8690 0.1310 0.0000  5 Br 3.56-3.93
K 0.1955 0.8045 0.8543  6 Br 3.23-3.59
K 0.8045 0.1955 0.3543  6 Br 3.23-3.59
Cu 0.4340 0.5660 0.1930  4 Br 2.35-2.54
Cu 0.5660 0.4340 0.6930  4 Br 2.35-2.54
Br 0.0448 0.9552 0.7515  2 Cu 2.54
Br 0.3015 0.6985 0.4982  2 K 3.23
Br 0.3229 0.6771 0.1989  1 Cu 2.37
Br 0.3472 0.6528 0.8303  1 K 3.25, 4 Cs 3.56-3.62
Br 0.4941 0.5059 0.5787  1 Cu 2.35
Br 0.5059 0.4941 0.0787  1 Cu 2.35
Br 0.6528 0.3472 0.3303  1 K 3.25, 4 Cs 3.56-3.62
Br 0.6771 0.3229 0.6989  1 Cu 2.37
Br 0.6985 0.3015 0.9982  2 K 3.23
Br 0.9552 0.0448 0.2515  2 Cu 2.54

Summary:
Its volume is 773.4 Å³/cell. The uncorrected formation energy is -1.248 eV per atom. As for the calculated density: 3.30 Mg/m³. Its density of states at the Fermi level is 0.82 states/eV/atom.

PrHg2I | PBE | relaxed

Unit cell a=3.9569 b=3.9569 c=32.8610 alpha=90.00 beta=90.00 gamma=120.00
Closest atoms and distances in Å follow each position.
Fractional coordinates of all 12 atoms:
Pr 0.0000 0.0000 0.0000  2 Hg 3.13
Pr 0.3333 0.6667 0.6667  2 Hg 3.13
Pr 0.6667 0.3333 0.3333  2 Hg 3.13
Hg 0.0000 0.0000 0.0952  1 Pr 3.13, 3 I 3.28
Hg 0.0000 0.0000 0.9048  1 Pr 3.13, 3 I 3.28
Hg 0.3333 0.6667 0.5714  1 Pr 3.13, 3 I 3.28
Hg 0.3333 0.6667 0.7619  1 Pr 3.13, 3 I 3.28
Hg 0.6667 0.3333 0.2381  1 Pr 3.13, 3 I 3.28
Hg 0.6667 0.3333 0.4286  1 Pr 3.13, 3 I 3.28
I 0.0000 0.0000 0.5000  6 Hg 3.28
I 0.3333 0.6667 0.1667  6 Hg 3.28
I 0.6667 0.3333 0.8333  6 Hg 3.28

Summary:
Its volume is 445.6 Å³/cell. The uncorrected formation energy is -0.020 eV per atom. As for the calculated density: 7.48 Mg/m³. Its density of states at the Fermi level is 0.56 states/eV/atom.